Entry 1:
VASP calculation (PBE) on a geometry-optimized LiScAs2 structure.

Computed properties:
- Symmetry: No. 123

abc: 4.937 4.937 2.988
angles: 90.00 90.00 90.00
Positions (direct):
Li  0.000  0.000  0.000
Sc  0.500  0.500  0.000
As  0.000  0.500  0.500
As  0.500  0.000  0.500

Entry 2:
VASP calculation (PBE) on a geometry-optimized Li2ScAs structure.

Computed properties:
- Symmetry: No. 166

abc: 9.639 9.639 9.639
angles: 18.53 18.53 18.53
Positions (direct):
Li  0.235  0.235  0.235
Li  0.765  0.765  0.765
Sc  0.000  0.000  0.000
As  0.500  0.500  0.500

Entry 3:
VASP calculation (PBE) on a geometry-optimized LiSc3As structure.

Computed properties:
- Symmetry: No. 221

abc: 5.130 5.130 5.130
angles: 90.00 90.00 90.00
Positions (direct):
Li  0.000  0.000  0.000
Sc  0.000  0.500  0.500
Sc  0.500  0.000  0.500
Sc  0.500  0.500  0.000
As  0.500  0.500  0.500

Entry 4:
VASP calculation (PBE) on a geometry-optimized LiScAs2 structure.

Computed properties:
- Symmetry: No. 122

abc: 5.829 5.829 5.829
angles: 104.25 104.25 120.52
Positions (direct):
Li  0.000  0.000  0.000
Li  0.750  0.250  0.500
Sc  0.250  0.750  0.500
Sc  0.500  0.500  0.000
As  0.104  0.625  0.979
As  0.375  0.354  0.479
As  0.646  0.125  0.021
As  0.875  0.896  0.521

Entry 5:
VASP calculation (PBE) on a geometry-optimized LiScAs structure.

Computed properties:
- Symmetry: No. 216

abc: 4.467 4.467 4.467
angles: 60.00 60.00 60.00
Positions (direct):
Li  0.000  0.000  0.000
Sc  0.250  0.250  0.250
As  0.500  0.500  0.500

Entry 6:
VASP calculation (PBE) on a geometry-optimized LiScAs2 structure.

Computed properties:
- Symmetry: No. 139

abc: 4.845 4.845 4.845
angles: 125.51 125.51 80.70
Positions (direct):
Li  0.000  0.000  0.000
Sc  0.500  0.500  0.000
As  0.250  0.750  0.500
As  0.750  0.250  0.500

Entry 7:
VASP calculation (PBE) on a geometry-optimized LiScAs2 structure.

Computed properties:
- Symmetry: No. 65

abc: 3.189 3.189 7.544
angles: 90.00 90.00 101.66
Positions (direct):
Li  0.000  0.000  0.000
Sc  0.000  0.000  0.500
As  0.500  0.500  0.254
As  0.500  0.500  0.746

Entry 8:
VASP calculation (PBE) on a geometry-optimized Li2ScAs structure.

Computed properties:
- Symmetry: No. 160

abc: 5.248 5.248 5.248
angles: 46.32 46.32 46.32
Positions (direct):
Li  0.000  0.000  0.000
Li  0.280  0.280  0.280
Sc  0.486  0.486  0.486
As  0.701  0.701  0.701

| no. | spin magnetization (Bohr magnetons per cell) | E_form (eV/atom) |
| --- | --- | --- |
| 1 | 0.1 | -0.688 |
| 2 | 0.0 | -0.065 |
| 3 | 1.9 | -0.172 |
| 4 | 0.0 | -0.633 |
| 5 | 0.0 | -0.443 |
| 6 | 0.0 | -0.696 |
| 7 | 0.0 | -0.695 |
| 8 | 0.0 | -0.548 |